A plane-wave DFT calculation with PBE was carried out for an optimized crystal structure of CoB4Pb.

For the calculated total energy, the calculation gives -0.4074 Ry/atom. For the total magnetic moment, the calculation gives 0.286 μB/atom.

a b c (Å): 3.070 5.398 7.777
angles (deg): 90.00 90.00 90.00
Space group Immm (No. 71)
Unique sites:
Co1 0.000 0.000 0.000 [2 per cell]
B1 0.000 0.339 0.260 [8 per cell]
Pb1 0.000 0.000 0.500 [2 per cell]

=====

A plane-wave DFT calculation with PBE was carried out for an optimized crystal structure of CoB4Pb.

For the calculated total energy, the calculation gives -0.4338 Ry/atom. For the total magnetic moment, the calculation gives 0.001 μB/atom.

a b c (Å): 3.0503 3.0503 8.1952
angles (deg): 90.00 90.00 120.00
Space group P6/mmm (No. 191)
Unique sites:
Co1 0.0000 0.0000 0.0000 [1 per cell]
B1 0.3333 0.6667 0.1666 [4 per cell]
Pb1 0.0000 0.0000 0.5000 [1 per cell]

=====

A plane-wave DFT calculation with PBE was carried out for an optimized crystal structure of CoBPb2.

For the calculated total energy, the calculation gives -0.2851 Ry/atom. For the total magnetic moment, the calculation gives 0.185 μB/atom.

a b c (Å): 6.789 6.789 6.789
angles (deg): 90.00 90.00 90.00
Space group F-43m (No. 216)
Unique sites:
Co1 0.000 0.000 0.000 [4 per cell]
B1 0.250 0.250 0.750 [4 per cell]
Pb1 0.000 0.000 0.500 [4 per cell]
Pb2 0.250 0.250 0.250 [4 per cell]

=====

Among the records above, which one has the highest calculated total energy? CoBPb2

=====

Number 3 is which compound? CoBPb2

=====

Copy entry 1 word for word.
A plane-wave DFT calculation with PBE was carried out for an optimized crystal structure of CoB4Pb.

For the calculated total energy, the calculation gives -0.4074 Ry/atom. For the total magnetic moment, the calculation gives 0.286 μB/atom.

a b c (Å): 3.070 5.398 7.777
angles (deg): 90.00 90.00 90.00
Space group Immm (No. 71)
Unique sites:
Co1 0.000 0.000 0.000 [2 per cell]
B1 0.000 0.339 0.260 [8 per cell]
Pb1 0.000 0.000 0.500 [2 per cell]

=====

Look up the calculated total energy of the third one. -0.2851 Ry/atom